1.
3
Lattice="-1.881 1.881 5.301 1.881 -1.881 5.301 1.881 1.881 -5.301" Properties=species:S:1:pos:R:3 comment="SrLiZn | Alexandria | GGA-PBEsol | optimized geometry" dft_energy_ev_per_cell=-5.6 polymorph_energy_mev_per_atom=6 total_magnetization_mub_per_cell=0.00 pbc="T T T"
Sr 0.000 0.000 0.000
Li 0.000 0.000 3.056
Zn 0.000 0.000 7.235

=====

2.
5
Lattice="4.683 0.000 0.000 0.000 4.683 0.000 0.000 0.000 4.683" Properties=species:S:1:pos:R:3 comment="TaNbS3 | Alexandria | GGA-PBEsol | optimized geometry" dft_energy_ev_per_cell=-34.3 e_form_raw_mev_per_atom=445 total_magnetization_mub_per_cell=2.86 pbc="T T T"
Ta 0.000 0.000 0.000
Nb 2.341 2.341 2.341
S 0.000 2.341 2.341
S 2.341 0.000 2.341
S 2.341 2.341 0.000